Record 1
Pm2CdS after structural relaxation. Source: the Alexandria database, functional PBE.

- Formation energy from raw total energies: -4.44 eV per formula unit
- Total energy: -4.746 eV/atom
- E above lowest polymorph: 0 meV/atom

Cell lengths 4.008, 4.008, 8.120 Å; angles 75.71, 75.71, 60.00 degrees
Fractional coordinates of all 4 atoms:
Pm  0.264  0.264  0.208
Pm  0.736  0.736  0.792
S  0.000  0.000  0.000
Cd  0.500  0.500  0.500

---

Record 2
Sr3Pm3CdS8 after structural relaxation. Source: the Alexandria database, functional PBE.

- Formation energy from raw total energies: -27.74 eV per formula unit
- Total energy: -5.398 eV/atom

Cell lengths 8.170, 8.170, 8.342 Å; angles 119.32, 90.00, 120.00 degrees
Fractional coordinates of all 15 atoms:
S  0.759  0.519  0.272
Sr  0.000  0.500  0.000
S  0.241  0.481  0.728
Sr  0.000  0.000  0.000
S  0.241  0.987  0.728
S  0.759  0.013  0.272
Pm  0.000  0.500  0.500
Sr  0.500  0.500  0.000
Pm  0.500  0.000  0.500
S  0.255  0.509  0.264
S  0.746  0.987  0.728
S  0.745  0.491  0.736
S  0.254  0.013  0.272
Cd  0.000  0.000  0.500
Pm  0.500  0.500  0.500

---

Record 3
Pm2Tl3CdS6 after structural relaxation. Source: the Alexandria database, functional PBE.

- Formation energy from raw total energies: -12.48 eV per formula unit
- Total energy: -4.564 eV/atom

Cell lengths 7.105, 7.105, 7.642 Å; angles 99.03, 99.03, 120.00 degrees
Fractional coordinates of all 12 atoms:
S  0.070  0.402  0.210
Pm  0.334  0.666  0.000
S  0.261  0.261  0.787
S  0.930  0.598  0.790
Tl  0.168  0.832  0.500
Tl  0.500  0.500  0.500
Pm  0.666  0.334  0.000
S  0.402  0.070  0.210
Tl  0.832  0.168  0.500
S  0.739  0.739  0.213
Cd  0.000  0.000  0.000
S  0.598  0.930  0.790

---

Record 4
Pm3CdSb after structural relaxation. Source: the Alexandria database, functional PBE.

- Formation energy from raw total energies: -2.41 eV per formula unit
- Total energy: -4.341 eV/atom

Cell lengths 5.211, 5.206, 11.272 Å; angles 103.35, 90.00, 90.00 degrees
Fractional coordinates of all 10 atoms:
Pm  0.250  0.237  0.123
Pm  0.750  0.925  0.498
Sb  0.750  0.332  0.312
Sb  0.250  0.020  0.688
Pm  0.250  0.618  0.884
Pm  0.750  0.114  0.877
Pm  0.250  0.427  0.502
Cd  0.250  0.829  0.307
Cd  0.750  0.522  0.693
Pm  0.750  0.734  0.116

---

Record 5
Pm2CdSb4 after structural relaxation. Source: the Alexandria database, functional PBE.

- Formation energy from raw total energies: -4.87 eV per formula unit
- Total energy: -4.540 eV/atom

Cell lengths 4.370, 4.370, 10.723 Å; angles 90.00, 90.00, 90.00 degrees
Fractional coordinates of all 7 atoms:
Pm  0.000  0.500  0.266
Sb  0.500  0.500  0.500
Cd  0.500  0.500  0.000
Pm  0.500  0.000  0.734
Sb  0.500  0.000  0.176
Sb  0.000  0.000  0.500
Sb  0.000  0.500  0.824

---

Record 6
PmCd2Sb after structural relaxation. Source: the Alexandria database, functional PBE.

- Formation energy from raw total energies: 0.73 eV per formula unit
- Total energy: -2.493 eV/atom

Cell lengths 3.368, 3.368, 11.775 Å; angles 81.78, 81.78, 60.00 degrees
Fractional coordinates of all 4 atoms:
Sb  0.500  0.500  0.500
Cd  0.091  0.091  0.728
Cd  0.909  0.909  0.272
Pm  0.000  0.000  0.000